Entry 1:
Material: Na2Ni2O3
Method: DFT, SCAN
State: PBEsol geometry

Uncorrected energy: -135.980 eV/cell
Volume: 11.4 A^3/atom

a = 5.660 Å, b = 5.253 Å, c = 6.095 Å
α = 90.00°, β = 117.91°, γ = 90.00°
Sites, in units of the cell vectors:
Na (0.159, 0.153, 0.394)
Na (0.159, 0.347, 0.894)
Na (0.841, 0.653, 0.106)
Na (0.841, 0.847, 0.606)
Ni (0.339, 0.645, 0.588)
Ni (0.339, 0.855, 0.088)
Ni (0.661, 0.145, 0.912)
Ni (0.661, 0.355, 0.412)
O (0.000, 0.000, 0.000)
O (0.000, 0.500, 0.500)
O (0.342, 0.573, 0.275)
O (0.342, 0.927, 0.775)
O (0.658, 0.073, 0.225)
O (0.658, 0.427, 0.725)

---

Entry 2:
Material: Na2NiO2
Method: DFT, SCAN
State: PBEsol geometry

Uncorrected energy: -44.224 eV/cell
Volume: 12.1 A^3/atom
DOS at the Fermi energy: 0.0000 states/eV per atom

a = 5.406 Å, b = 5.406 Å, c = 5.406 Å
α = 149.63°, β = 130.16°, γ = 59.49°
Sites, in units of the cell vectors:
Na (0.175, 0.175, 0.000)
Na (0.825, 0.825, 0.000)
Ni (0.500, 0.500, 0.000)
O (0.369, 0.869, 0.500)
O (0.631, 0.131, 0.500)

---

Entry 3:
Material: NaNi2O4
Method: DFT, SCAN
State: PBEsol geometry

Uncorrected energy: -283.248 eV/cell
Volume: 10.9 A^3/atom
DOS at the Fermi energy: 0.5167 states/eV per atom

a = 5.640 Å, b = 4.873 Å, c = 12.410 Å
α = 90.00°, β = 116.80°, γ = 90.00°
Sites, in units of the cell vectors:
Na (0.000, 0.028, 0.250)
Na (0.000, 0.972, 0.750)
Na (0.500, 0.355, 0.750)
Na (0.500, 0.645, 0.250)
Ni (0.000, 0.500, 0.000)
Ni (0.000, 0.500, 0.500)
Ni (0.253, 0.003, 0.003)
Ni (0.253, 0.997, 0.503)
Ni (0.500, 0.500, 0.000)
Ni (0.500, 0.500, 0.500)
Ni (0.747, 0.003, 0.497)
Ni (0.747, 0.997, 0.997)
O (0.090, 0.165, 0.590)
O (0.090, 0.835, 0.090)
O (0.167, 0.327, 0.416)
O (0.167, 0.673, 0.916)
O (0.335, 0.338, 0.087)
O (0.335, 0.662, 0.587)
O (0.407, 0.167, 0.910)
O (0.407, 0.833, 0.410)
O (0.593, 0.167, 0.590)
O (0.593, 0.833, 0.090)
O (0.665, 0.338, 0.413)
O (0.665, 0.662, 0.913)
O (0.833, 0.327, 0.084)
O (0.833, 0.673, 0.584)
O (0.910, 0.165, 0.910)
O (0.910, 0.835, 0.410)

---

Entry 4:
Material: Na5Ni8O16
Method: DFT, SCAN
State: PBEsol geometry

Uncorrected energy: -290.146 eV/cell
Volume: 10.5 A^3/atom
DOS at the Fermi energy: 0.2828 states/eV per atom

a = 5.757 Å, b = 6.808 Å, c = 8.127 Å
α = 81.75°, β = 78.29°, γ = 79.36°
Sites, in units of the cell vectors:
Na (0.000, 0.000, 0.000)
Na (0.000, 0.500, 0.500)
Na (0.296, 0.275, 0.726)
Na (0.500, 0.000, 0.000)
Na (0.704, 0.725, 0.274)
Ni (0.123, 0.879, 0.626)
Ni (0.126, 0.374, 0.125)
Ni (0.373, 0.629, 0.877)
Ni (0.377, 0.121, 0.372)
Ni (0.623, 0.879, 0.628)
Ni (0.627, 0.371, 0.123)
Ni (0.874, 0.626, 0.875)
Ni (0.877, 0.121, 0.374)
O (0.073, 0.652, 0.028)
O (0.097, 0.148, 0.536)
O (0.155, 0.611, 0.714)
O (0.173, 0.094, 0.219)
O (0.331, 0.392, 0.276)
O (0.338, 0.905, 0.794)
O (0.407, 0.356, 0.962)
O (0.418, 0.852, 0.478)
O (0.582, 0.148, 0.522)
O (0.593, 0.644, 0.038)
O (0.662, 0.095, 0.206)
O (0.669, 0.608, 0.724)
O (0.827, 0.906, 0.781)
O (0.845, 0.389, 0.286)
O (0.903, 0.852, 0.464)
O (0.927, 0.348, 0.972)

---

Entry 5:
Material: Na3Ni5O10
Method: DFT, SCAN
State: PBEsol geometry

Uncorrected energy: -180.384 eV/cell
Volume: 10.5 A^3/atom
DOS at the Fermi energy: 0.3768 states/eV per atom

a = 4.891 Å, b = 6.312 Å, c = 6.897 Å
α = 110.40°, β = 96.00°, γ = 104.36°
Sites, in units of the cell vectors:
Na (0.000, 0.000, 0.000)
Na (0.204, 0.399, 0.395)
Na (0.796, 0.601, 0.605)
Ni (0.000, 0.500, 0.000)
Ni (0.200, 0.900, 0.401)
Ni (0.400, 0.298, 0.801)
Ni (0.600, 0.702, 0.199)
Ni (0.800, 0.100, 0.599)
O (0.088, 0.404, 0.721)
O (0.096, 0.983, 0.668)
O (0.284, 0.803, 0.128)
O (0.298, 0.384, 0.066)
O (0.490, 0.210, 0.532)
O (0.510, 0.790, 0.468)
O (0.702, 0.616, 0.934)
O (0.716, 0.197, 0.872)
O (0.904, 0.017, 0.332)
O (0.912, 0.596, 0.279)

---

Entry 6:
Material: Na6NiO4
Method: DFT, SCAN
State: PBEsol geometry

Uncorrected energy: -160.543 eV/cell
Volume: 13.2 A^3/atom
DOS at the Fermi energy: 0.5895 states/eV per atom

a = 7.395 Å, b = 7.395 Å, c = 5.323 Å
α = 90.00°, β = 90.00°, γ = 90.00°
Sites, in units of the cell vectors:
Na (0.040, 0.540, 0.250)
Na (0.040, 0.960, 0.250)
Na (0.250, 0.250, 0.145)
Na (0.250, 0.250, 0.645)
Na (0.460, 0.540, 0.250)
Na (0.460, 0.960, 0.250)
Na (0.540, 0.040, 0.750)
Na (0.540, 0.460, 0.750)
Na (0.750, 0.750, 0.355)
Na (0.750, 0.750, 0.855)
Na (0.960, 0.040, 0.750)
Na (0.960, 0.460, 0.750)
Ni (0.250, 0.750, 0.750)
Ni (0.750, 0.250, 0.250)
O (0.005, 0.750, 0.585)
O (0.250, 0.505, 0.915)
O (0.250, 0.995, 0.915)
O (0.495, 0.750, 0.585)
O (0.505, 0.250, 0.415)
O (0.750, 0.005, 0.085)
O (0.750, 0.495, 0.085)
O (0.995, 0.250, 0.415)

---

Number 1: formation energy without anion corrections -8.520 eV/f.u.. Number 2: formation energy without anion corrections -7.159 eV/f.u.. Number 3: formation energy without anion corrections -9.325 eV/f.u.. Number 4: formation energy without anion corrections -39.985 eV/f.u.. Number 5: formation energy without anion corrections -24.560 eV/f.u.. Number 6: formation energy without anion corrections -13.884 eV/f.u..